A plane-wave DFT calculation with GGA-PBE was carried out for RbIn2SnPb4 after structural relaxation.

Output
Formation enthalpy at 0 K in eV per atom: 0.0168
Theoretical density in g cm⁻³: 7.74
Space group: R-3m, No. 166
Uncorrected energy in eV for the cell shown: -25.1

Cell lengths 10.366, 10.366, 10.366 Å; angles 31.55, 31.55, 31.55 degrees
Sites, in units of the cell vectors:
1 Rb 0.000 0.000 0.000
2 In 0.240 0.240 0.240
3 In 0.760 0.760 0.760
4 Sn 0.500 0.500 0.500
5 Pb 0.128 0.128 0.128
6 Pb 0.400 0.400 0.400
7 Pb 0.600 0.600 0.600
8 Pb 0.872 0.872 0.872